Here is CeCdBi after structural relaxation from Alexandria via LeMat-Bulk. Energies are from PBE.

V, A^3/atom: 29.7
Excess energy over the best structure of this formula in the dataset, meV/atom: 105.5
E_tot, eV/atom: -3.840
Energy relative to the elements, meV/atom: -264

Cell: 4.271 4.271 9.780 Å, 90.00 90.00 90.00°
Space group I4mm (No. 107)
Unique sites:
Ce (0.000, 0.000, 0.000)
Cd (0.000, 0.000, 0.671)
Bi (0.000, 0.000, 0.344)